Density functional theory data (PBE) for a relaxed structure of BaDy3Tc.

abc: 5.5409 5.5409 5.5409
angles: 90.00 90.00 90.00
Sites, in units of the cell vectors:
Tc  0.0000  0.0000  0.0000
Ba  0.5000  0.5000  0.5000
Dy  0.0000  0.5000  0.0000
Dy  0.0000  0.0000  0.5000
Dy  0.5000  0.0000  0.0000

**DOS(E_F)**: 0.8697 states/eV per atom
**Calculated density**: 7056 kg/m3
**Volume**: 34.0 Å³/atom
**Formation energy**: 0.08 eV per atom

=====

Density functional theory data (PBE) for a relaxed structure of LaAlIr2.

abc: 5.6827 5.6827 5.6827
angles: 144.41 134.32 59.21
Sites, in units of the cell vectors:
Ir  0.0220  0.0220  0.0000
Ir  0.7624  0.2624  0.5000
Al  0.2196  0.7196  0.5000
La  0.4960  0.4960  0.0000

**DOS(E_F)**: 0.7563 states/eV per atom
**Calculated density**: 12070 kg/m3
**Volume**: 18.9 Å³/atom
**Formation energy**: -0.32 eV per atom

=====

Density functional theory data (PBE) for a relaxed structure of Li3AcS4O12.

abc: 6.5852 6.5852 6.5852
angles: 105.68 105.68 105.68
Sites, in units of the cell vectors:
Li  0.5760  0.4240  0.0000
Li  0.4240  0.0000  0.5760
Li  0.0000  0.5760  0.4240
Ac  0.0000  0.0000  0.0000
S  0.8849  0.1151  0.5000
S  0.1151  0.5000  0.8849
S  0.5000  0.8849  0.1151
S  0.5000  0.5000  0.5000
O  0.5000  0.3632  0.6368
O  0.9701  0.5000  0.0299
O  0.0299  0.9701  0.5000
O  0.5000  0.0299  0.9701
O  0.3473  0.9726  0.2546
O  0.2546  0.3473  0.9726
O  0.9726  0.2546  0.3473
O  0.6527  0.7454  0.0274
O  0.0274  0.6527  0.7454
O  0.7454  0.0274  0.6527
O  0.6368  0.5000  0.3632
O  0.3632  0.6368  0.5000

**DOS(E_F)**: 0.0544 states/eV per atom
**E_form (uncorrected)**: -1344 meV/atom
**Calculated density**: 3836 kg/m3
**Volume**: 12.3 Å³/atom

=====

Density functional theory data (PBE) for a relaxed structure of ZrCr2Sn.

abc: 7.2029 7.2029 5.8192
angles: 51.77 51.77 90.00
Sites, in units of the cell vectors:
Cr  0.6275  0.1250  0.2500
Cr  0.1225  0.6250  0.2500
Cr  0.3750  0.3725  0.7500
Cr  0.8750  0.8775  0.7500
Sn  0.0000  0.0000  0.0000
Sn  0.7500  0.2500  0.5000
Zr  0.5000  0.5000  0.0000
Zr  0.2500  0.7500  0.5000

**DOS(E_F)**: 1.2644 states/eV per atom
**Calculated density**: 7139 kg/m3
**Volume**: 18.3 Å³/atom
**Formation energy**: 0.91 eV per atom

=====

Density functional theory data (PBE) for a relaxed structure of AcPdAu2.

abc: 5.6968 7.8215 16.4772
angles: 90.00 90.00 90.00
Sites, in units of the cell vectors:
Ac  0.4650  0.2500  0.1428
Ac  0.9650  0.7500  0.3572
Ac  0.5350  0.7500  0.8572
Ac  0.0350  0.2500  0.6428
Ac  0.7177  0.2500  0.3956
Ac  0.2177  0.7500  0.1044
Ac  0.2823  0.7500  0.6044
Ac  0.7823  0.2500  0.8956
Pd  0.2104  0.2500  0.3200
Pd  0.7104  0.7500  0.1800
Pd  0.7896  0.7500  0.6800
Pd  0.2896  0.2500  0.8200
Pd  0.9738  0.2500  0.0704
Pd  0.4738  0.7500  0.4296
Pd  0.0262  0.7500  0.9296
Pd  0.5262  0.2500  0.5704
Au  0.9406  0.0548  0.2156
Au  0.4406  0.9452  0.2844
Au  0.0594  0.5548  0.7844
Au  0.5594  0.4452  0.7156
Au  0.0594  0.9452  0.7844
Au  0.5594  0.0548  0.7156
Au  0.9406  0.4452  0.2156
Au  0.4406  0.5548  0.2844
Au  0.7233  0.5580  0.0328
Au  0.2233  0.4420  0.4672
Au  0.2767  0.0580  0.9672
Au  0.7767  0.9420  0.5328
Au  0.2767  0.4420  0.9672
Au  0.7767  0.5580  0.5328
Au  0.7233  0.9420  0.0328
Au  0.2233  0.0580  0.4672

**E above lowest polymorph**: 0.00 kcal/mol of atoms
**DOS(E_F)**: 0.3479 states/eV per atom
**Calculated density**: 13161 kg/m3
**Volume**: 22.9 Å³/atom
**Formation energy**: -0.74 eV per atom

=====

Density functional theory data (PBE) for a relaxed structure of HfThC2.

abc: 3.6491 6.0283 11.7161
angles: 90.00 90.00 90.00
Sites, in units of the cell vectors:
Hf  0.2500  0.5904  0.1039
Hf  0.2500  0.0904  0.3961
Hf  0.7500  0.4096  0.8961
Hf  0.7500  0.9096  0.6039
Th  0.7500  0.0845  0.1429
Th  0.2500  0.9155  0.8571
Th  0.7500  0.5845  0.3571
Th  0.2500  0.4155  0.6429
C  0.7500  0.2256  0.4846
C  0.2500  0.7744  0.5154
C  0.7500  0.7256  0.0154
C  0.2500  0.2744  0.9846
C  0.7500  0.1491  0.7538
C  0.2500  0.3509  0.2538
C  0.7500  0.6491  0.7462
C  0.2500  0.8509  0.2462

**E above lowest polymorph**: 0.00 kcal/mol of atoms
**DOS(E_F)**: 0.3237 states/eV per atom
**Calculated density**: 11199 kg/m3
**Volume**: 16.1 Å³/atom
**Formation energy**: -0.48 eV per atom

=====

Density functional theory data (PBE) for a relaxed structure of ScBeCd.

abc: 4.3639 4.3639 3.2468
angles: 90.00 90.00 120.00
Sites, in units of the cell vectors:
Sc  0.3333  0.6667  0.6663
Be  0.0000  0.0000  0.1674
Cd  0.6667  0.3333  0.1663

**E above lowest polymorph**: 2.10 kcal/mol of atoms
**DOS(E_F)**: 0.7452 states/eV per atom
**Calculated density**: 5160 kg/m3
**Volume**: 17.8 Å³/atom
**Formation energy**: -0.04 eV per atom

=====

Density functional theory data (PBE) for a relaxed structure of GdHoLuTl.

abc: 5.4367 5.4367 5.4367
angles: 60.00 60.00 60.00
Last column: magnetic moment on the atom in μB.
Sites, in units of the cell vectors:
Gd  0.7500  0.7500  0.7500  7.32
Tl  0.0000  0.0000  0.0000  -0.01
Lu  0.5000  0.5000  0.5000  0.30
Ho  0.2500  0.2500  0.2500  0.29

**DOS(E_F)**: 1.2027 states/eV per atom
**Calculated density**: 10252 kg/m3
**Volume**: 28.4 Å³/atom
**Formation energy**: -0.06 eV per atom

=====

- Number 3 is which compound?
  Li3AcS4O12

=====

Please write out number 2 again, unchanged.
Density functional theory data (PBE) for a relaxed structure of LaAlIr2.

abc: 5.6827 5.6827 5.6827
angles: 144.41 134.32 59.21
Sites, in units of the cell vectors:
Ir  0.0220  0.0220  0.0000
Ir  0.7624  0.2624  0.5000
Al  0.2196  0.7196  0.5000
La  0.4960  0.4960  0.0000

**DOS(E_F)**: 0.7563 states/eV per atom
**Calculated density**: 12070 kg/m3
**Volume**: 18.9 Å³/atom
**Formation energy**: -0.32 eV per atom